DFT (PBE-GGA) results for CsPu4Ni3S12 after structural relaxation.

abc: 9.675 9.675 9.675
angles: 90.00 90.00 90.00
Space group Im-3 (No. 204)
Asymmetric unit:
1 Cs 0.000 0.000 0.000 x2
2 Pu 0.250 0.250 0.250 x8
3 Ni 0.000 0.000 0.500 x6
4 S 0.000 0.333 0.160 x24

Properties
The total magnetization is 29.99 μB per cell. As for the crystal system: cubic. Its energy is -285.220 eV per cell. Its density of states at the Fermi level is 54.40 states/eV per cell. The value obtained for the uncorrected formation energy is -20.242 kcal/mol of atoms.